# GaCuF2 (GGA-PBE, relaxed)
data_GaCuF2
_symmetry_space_group_name_H-M 'C 1 m 1'
_symmetry_Int_Tables_number 8
_symmetry_space_group_name_Hall 'C -2y'
_cell_length_a 9.037
_cell_length_b 4.094
_cell_length_c 2.933
_cell_angle_alpha 90.00
_cell_angle_beta 97.17
_cell_angle_gamma 90.00
loop_
_atom_site_label
_atom_site_type_symbol
_atom_site_fract_x
_atom_site_fract_y
_atom_site_fract_z
_atom_site_occupancy
Ga1 Ga 0.000 0.000 0.000 1
Cu1 Cu 0.211 0.000 0.576 1
F1 F 0.334 0.500 0.448 1
F2 F 0.429 0.000 0.947 1
# Raw formation energy (eV/atom): -1.45
# Electronic total energy (eV per cell): -33.36
# Volume (Å³ per atom): 13.458